PBE CaMnPd2, relaxed; electronic total energy = -22.96 eV per cell; space-group type = No. 123; E_form = -0.35 eV/atom
1.0
4.4288 0.0000 0.0000
0.0000 4.4288 0.0000
0.0000 0.0000 3.6503
Ca Mn Pd
1 1 2
direct
0.0000 0.0000 0.0000
0.5000 0.5000 0.0000
0.0000 0.5000 0.5000
0.5000 0.0000 0.5000

=====

PBE Ce2BiPd, relaxed; electronic total energy = -23.26 eV per cell; space-group type = No. 166; E_form = -0.58 eV/atom; excess energy over the best structure of this formula in the dataset = 5.8 meV/atom
1.0
2.1464 1.2392 7.4632
-2.1464 1.2392 7.4632
0.0000 -2.4785 7.4632
Ce Bi Pd
2 1 1
direct
0.2395 0.2395 0.2395
0.7605 0.7605 0.7605
0.0000 0.0000 0.0000
0.5000 0.5000 0.5000